Material: La6CeTh
Method: DFT, PBE-GGA
State: relaxed

Calculated values
The total DFT energy (no corrections) is -5.205 eV per atom. The value obtained for the energy of formation from the pure elements is 15 kJ per mole of atoms. As for the total magnetization: 0.93 μB per cell.

Cell lengths 6.9172, 6.9172, 6.5621 Å; angles 91.49, 91.49, 118.49 degrees
Fractional positions:
La 0.0508 0.0508 0.2331
La 0.0649 0.5974 0.2530
La 0.4026 0.9351 0.7470
La 0.5974 0.0649 0.2530
La 0.9351 0.4026 0.7470
La 0.9492 0.9492 0.7669
Ce 0.5000 0.5000 0.5000
Th 0.5000 0.5000 0.0000